1.
{
  "formula": "TcMo2HIr",
  "functional": "PBE-GGA",
  "state": "relaxed",
  "dos_ef_per_ev_atom": 0.676,
  "e_tot_ev_per_atom": -8.882,
  "mass_density_g_cm3": 12.8,
  "cell": [[4.017, 0.000, 0.000], [0.000, 4.017, 0.000], [0.000, 0.000, 3.885]],
  "species": ["Tc", "Mo", "Mo", "H", "Ir"],
  "frac_coords": [[0.000, 0.000, 0.000], [0.000, 0.500, 0.500], [0.500, 0.000, 0.500], [0.500, 0.500, 0.500], [0.500, 0.500, 0.000]]
}

***

2.
{
  "formula": "Ti2MoHIr",
  "functional": "PBE-GGA",
  "state": "relaxed",
  "dos_ef_per_ev_atom": 0.783,
  "e_tot_ev_per_atom": -8.171,
  "mass_density_g_cm3": 9.9,
  "cell": [[4.340, 0.000, 0.000], [0.000, 4.340, 0.000], [0.000, 0.000, 3.441]],
  "species": ["Ti", "Ti", "Mo", "H", "Ir"],
  "frac_coords": [[0.000, 0.500, 0.000], [0.500, 0.000, 0.000], [0.000, 0.000, 0.500], [0.500, 0.500, 0.000], [0.500, 0.500, 0.500]]
}

***

3.
{
  "formula": "Ti2MoHIr",
  "functional": "PBE-GGA",
  "state": "relaxed",
  "dos_ef_per_ev_atom": 0.513,
  "e_tot_ev_per_atom": -8.215,
  "mass_density_g_cm3": 9.9,
  "cell": [[4.355, 0.000, 0.000], [0.000, 4.355, 0.000], [0.000, 0.000, 3.398]],
  "species": ["Ti", "Ti", "Mo", "H", "Ir"],
  "frac_coords": [[0.000, 0.500, 0.000], [0.500, 0.000, 0.000], [0.000, 0.000, 0.500], [0.000, 0.000, 0.000], [0.500, 0.500, 0.500]]
}

***

4.
{
  "formula": "TiMo2HIr",
  "functional": "PBE-GGA",
  "state": "relaxed",
  "dos_ef_per_ev_atom": 1.010,
  "e_tot_ev_per_atom": -8.528,
  "mass_density_g_cm3": 11.2,
  "cell": [[3.925, 0.000, 0.000], [0.000, 3.925, 0.000], [0.000, 0.000, 4.165]],
  "species": ["Ti", "Mo", "Mo", "H", "Ir"],
  "frac_coords": [[0.000, 0.000, 0.000], [0.000, 0.500, 0.500], [0.500, 0.000, 0.500], [0.000, 0.000, 0.500], [0.500, 0.500, 0.000]]
}

***

5.
{
  "formula": "VMoHIr2",
  "functional": "PBE-GGA",
  "state": "relaxed",
  "dos_ef_per_ev_atom": 1.057,
  "e_tot_ev_per_atom": -7.622,
  "mass_density_g_cm3": 13.0,
  "cell": [[4.797, 0.000, 0.000], [0.000, 4.797, 0.000], [0.000, 0.000, 2.954]],
  "species": ["V", "Mo", "H", "Ir", "Ir"],
  "frac_coords": [[0.000, 0.000, 0.000], [0.500, 0.500, 0.500], [0.000, 0.000, 0.500], [0.000, 0.500, 0.000], [0.500, 0.000, 0.000]]
}

***

6.
{
  "formula": "VMoHIr2",
  "functional": "PBE-GGA",
  "state": "relaxed",
  "dos_ef_per_ev_atom": 0.399,
  "e_tot_ev_per_atom": -8.436,
  "mass_density_g_cm3": 14.7,
  "cell": [[3.890, 0.000, 0.000], [0.000, 3.890, 0.000], [0.000, 0.000, 3.972]],
  "species": ["V", "Mo", "H", "Ir", "Ir"],
  "frac_coords": [[0.000, 0.000, 0.000], [0.500, 0.500, 0.000], [0.000, 0.000, 0.500], [0.000, 0.500, 0.500], [0.500, 0.000, 0.500]]
}

***

7.
{
  "formula": "Zr2MoHIr",
  "functional": "PBE-GGA",
  "state": "relaxed",
  "dos_ef_per_ev_atom": 0.326,
  "e_tot_ev_per_atom": -8.465,
  "mass_density_g_cm3": 10.3,
  "cell": [[4.657, 0.000, 0.000], [0.000, 4.657, 0.000], [0.000, 0.000, 3.499]],
  "species": ["Zr", "Zr", "Mo", "H", "Ir"],
  "frac_coords": [[0.000, 0.500, 0.000], [0.500, 0.000, 0.000], [0.000, 0.000, 0.500], [0.000, 0.000, 0.000], [0.500, 0.500, 0.500]]
}

***

8.
{
  "formula": "Zr2MoHIr",
  "functional": "PBE-GGA",
  "state": "relaxed",
  "dos_ef_per_ev_atom": 0.838,
  "e_tot_ev_per_atom": -8.399,
  "mass_density_g_cm3": 10.3,
  "cell": [[4.654, 0.000, 0.000], [0.000, 4.654, 0.000], [0.000, 0.000, 3.527]],
  "species": ["Zr", "Zr", "Mo", "H", "Ir"],
  "frac_coords": [[0.000, 0.500, 0.000], [0.500, 0.000, 0.000], [0.000, 0.000, 0.500], [0.500, 0.500, 0.000], [0.500, 0.500, 0.500]]
}